Entry a
DFT (PBE) results for an optimized crystal structure of NaScP2.

abc: 5.1540 5.1540 9.0708
angles: 73.50 73.50 90.00
With the nearest neighbours (Å) after each atom.
Fractional coordinates of all 8 atoms:
Sc (0.0000, 0.0000, 0.0000)  4 P 2.47
Sc (0.7500, 0.2500, 0.5000)  4 P 2.47
P (0.8001, 0.1250, 0.2500)  2 Sc 2.47, 2 P 2.69
P (0.9499, 0.6250, 0.2500)  2 Sc 2.47, 2 P 2.69
P (0.3750, 0.1999, 0.7500)  2 Sc 2.47, 2 P 2.69
P (0.8750, 0.0501, 0.7500)  2 Sc 2.47, 2 P 2.69
Na (0.5000, 0.5000, 0.0000)  4 P 3.28, 4 Sc 3.64
Na (0.2500, 0.7500, 0.5000)  4 P 3.28, 4 Sc 3.64

## Properties
spin magnetization = 0.00 μB/f.u.
calculated volume = 27.58 Å³ per atom

---

Entry b
DFT (PBE) results for an optimized crystal structure of NaScP2.

abc: 4.6775 4.6775 4.6775
angles: 60.00 60.00 60.00
With the nearest neighbours (Å) after each atom.
Fractional coordinates of all 4 atoms:
Sc (0.5000, 0.5000, 0.5000)  8 P 2.86
P (0.2500, 0.2500, 0.2500)  4 Na 2.86, 4 Sc 2.86
P (0.7500, 0.7500, 0.7500)  4 Na 2.86, 4 Sc 2.86
Na (0.0000, 0.0000, 0.0000)  8 P 2.86

## Properties
spin magnetization = 0.00 μB/f.u.
calculated volume = 18.09 Å³ per atom

---

It is entry a that is the least stable of them.

---

Entry a
DFT (PBE) results for an optimized crystal structure of NaSc3P.

abc: 5.0560 5.0560 5.0560
angles: 90.00 90.00 90.00
With the nearest neighbours (Å) after each atom.
Fractional coordinates of all 5 atoms:
Sc (0.0000, 0.5000, 0.0000)  2 P 2.53
Sc (0.0000, 0.0000, 0.5000)  2 P 2.53
Sc (0.5000, 0.0000, 0.0000)  2 P 2.53
P (0.0000, 0.0000, 0.0000)  6 Sc 2.53
Na (0.5000, 0.5000, 0.5000)  12 Sc 3.58

## Properties
spin magnetization = 2.07 μB/f.u.
calculated volume = 25.85 Å³ per atom

---

Entry b
DFT (PBE) results for an optimized crystal structure of NaSc3P.

abc: 4.9933 4.9933 4.9933
angles: 90.00 90.00 90.00
With the nearest neighbours (Å) after each atom.
Fractional coordinates of all 5 atoms:
Sc (0.0000, 0.5000, 0.0000)  2 Na 2.50
Sc (0.0000, 0.0000, 0.5000)  2 Na 2.50
Sc (0.5000, 0.0000, 0.0000)  2 Na 2.50
P (0.5000, 0.5000, 0.5000)  12 Sc 3.53
Na (0.0000, 0.0000, 0.0000)  6 Sc 2.50

## Properties
spin magnetization = 0.84 μB/f.u.
calculated volume = 24.90 Å³ per atom

---

It is entry b that is the least stable of them.

---

Entry a
DFT (PBE) results for an optimized crystal structure of Na3ScP.

abc: 5.4138 5.4138 5.4138
angles: 90.00 90.00 90.00
With the nearest neighbours (Å) after each atom.
Fractional coordinates of all 5 atoms:
Sc (0.5000, 0.5000, 0.5000)  12 Na 3.83
P (0.0000, 0.0000, 0.0000)  6 Na 2.71
Na (0.0000, 0.5000, 0.0000)  2 P 2.71
Na (0.0000, 0.0000, 0.5000)  2 P 2.71
Na (0.5000, 0.0000, 0.0000)  2 P 2.71

## Properties
spin magnetization = 1.09 μB/f.u.
calculated volume = 31.73 Å³ per atom

---

Entry b
DFT (PBE) results for an optimized crystal structure of Na3ScP.

abc: 5.8469 5.8469 5.8469
angles: 90.00 90.00 90.00
With the nearest neighbours (Å) after each atom.
Fractional coordinates of all 5 atoms:
Sc (0.0000, 0.0000, 0.0000)  6 Na 2.92
P (0.5000, 0.5000, 0.5000)  12 Na 4.13
Na (0.0000, 0.5000, 0.0000)  2 Sc 2.92
Na (0.0000, 0.0000, 0.5000)  2 Sc 2.92
Na (0.5000, 0.0000, 0.0000)  2 Sc 2.92

## Properties
spin magnetization = 1.00 μB/f.u.
calculated volume = 39.98 Å³ per atom

---

It is entry b that is the least stable of them.

---

Entry a
DFT (PBE) results for an optimized crystal structure of NaSc2P2.

abc: 7.3421 7.3421 3.4978
angles: 90.00 90.00 90.00
With the nearest neighbours (Å) after each atom.
Fractional coordinates of all 10 atoms:
Sc (0.1490, 0.6490, 0.5000)  6 P 2.70-2.83
Sc (0.6490, 0.8510, 0.5000)  6 P 2.70-2.83
Sc (0.8510, 0.3510, 0.5000)  6 P 2.70-2.83
Sc (0.3510, 0.1490, 0.5000)  6 P 2.70-2.83
P (0.3468, 0.8468, 0.0000)  6 Sc 2.70-2.83, 2 Na 2.78
P (0.8468, 0.6532, 0.0000)  6 Sc 2.70-2.83, 2 Na 2.78
P (0.6532, 0.1532, 0.0000)  6 Sc 2.70-2.83, 2 Na 2.78
P (0.1532, 0.3468, 0.0000)  6 Sc 2.70-2.83, 2 Na 2.78
Na (0.0000, 0.0000, 0.0000)  4 P 2.78
Na (0.5000, 0.5000, 0.0000)  4 P 2.78

## Properties
spin magnetization = 0.77 μB/f.u.
calculated volume = 18.86 Å³ per atom

---

Entry b
DFT (PBE) results for an optimized crystal structure of NaSc2P2.

abc: 4.5485 4.5485 6.8640
angles: 70.65 70.65 90.00
With the nearest neighbours (Å) after each atom.
Fractional coordinates of all 5 atoms:
Sc (0.7500, 0.2500, 0.5000)  4 P 2.58
Sc (0.2500, 0.7500, 0.5000)  4 P 2.58
P (0.3511, 0.3511, 0.2978)  4 Sc 2.58
P (0.6489, 0.6489, 0.7022)  4 Sc 2.58
Na (0.0000, 0.0000, 0.0000)  8 P 3.69, 8 Sc 3.79

## Properties
spin magnetization = 0.00 μB/f.u.
calculated volume = 25.09 Å³ per atom

---

It is entry b that is the least stable of them.

---

Entry a
DFT (PBE) results for an optimized crystal structure of NaSc2TaP.

abc: 4.8176 4.5038 4.8176
angles: 90.00 90.00 90.00
With the nearest neighbours (Å) after each atom.
Fractional coordinates of all 5 atoms:
Sc (0.0000, 0.0000, 0.5000)  2 Na 2.41
Sc (0.5000, 0.0000, 0.0000)  2 Na 2.41
P (0.0000, 0.5000, 0.0000)  2 Na 2.25
Na (0.0000, 0.0000, 0.0000)  2 P 2.25, 4 Sc 2.41
Ta (0.5000, 0.5000, 0.5000)  8 Sc 3.30, 4 P 3.41

## Properties
spin magnetization = 0.00 μB/f.u.
calculated volume = 20.91 Å³ per atom

---

Entry b
DFT (PBE) results for an optimized crystal structure of NaSc2TaP.

abc: 5.2474 4.8351 5.2474
angles: 90.00 90.00 90.00
With the nearest neighbours (Å) after each atom.
Fractional coordinates of all 5 atoms:
Sc (0.0000, 0.0000, 0.5000)  2 Ta 2.62
Sc (0.5000, 0.0000, 0.0000)  2 Ta 2.62
P (0.0000, 0.5000, 0.0000)  2 Ta 2.42
Na (0.5000, 0.5000, 0.5000)  8 Sc 3.57, 4 P 3.71
Ta (0.0000, 0.0000, 0.0000)  2 P 2.42, 4 Sc 2.62

## Properties
spin magnetization = 0.00 μB/f.u.
calculated volume = 26.63 Å³ per atom

---

It is entry a that is the least stable of them.

---

Entry a
DFT (PBE) results for an optimized crystal structure of NaPSe3.

abc: 4.9394 4.9394 4.9394
angles: 90.00 90.00 90.00
With the nearest neighbours (Å) after each atom.
Fractional coordinates of all 5 atoms:
P (0.0000, 0.0000, 0.0000)  6 Se 2.47
Se (0.0000, 0.5000, 0.0000)  2 P 2.47
Se (0.0000, 0.0000, 0.5000)  2 P 2.47
Se (0.5000, 0.0000, 0.0000)  2 P 2.47
Na (0.5000, 0.5000, 0.5000)  12 Se 3.49

## Properties
spin magnetization = 0.00 μB/f.u.
calculated volume = 24.10 Å³ per atom

---

Entry b
DFT (PBE) results for an optimized crystal structure of NaPSe3.

abc: 5.0418 5.0418 5.0418
angles: 90.00 90.00 90.00
With the nearest neighbours (Å) after each atom.
Fractional coordinates of all 5 atoms:
P (0.5000, 0.5000, 0.5000)  12 Se 3.57
Se (0.0000, 0.5000, 0.0000)  2 Na 2.52
Se (0.0000, 0.0000, 0.5000)  2 Na 2.52
Se (0.5000, 0.0000, 0.0000)  2 Na 2.52
Na (0.0000, 0.0000, 0.0000)  6 Se 2.52

## Properties
spin magnetization = 0.00 μB/f.u.
calculated volume = 25.63 Å³ per atom

---

Entry c
DFT (PBE) results for an optimized crystal structure of NaPSe3.

abc: 6.3021 6.3009 7.8866
angles: 66.45 66.44 59.99
With the nearest neighbours (Å) after each atom.
Fractional coordinates of all 10 atoms:
Na (0.3503, 0.3503, 0.9491)  6 Se 2.92-3.11
Na (0.6497, 0.6497, 0.0509)  6 Se 2.92-3.11
P (0.8345, 0.8346, 0.4963)  6 Se 2.42-2.45
P (0.1655, 0.1654, 0.5037)  6 Se 2.42-2.45
Se (0.8038, 0.4395, 0.7033)  2 P 2.43-2.45
Se (0.0533, 0.8038, 0.7033)  2 P 2.42-2.45
Se (0.4395, 0.0533, 0.7033)  2 P 2.42-2.45
Se (0.1962, 0.5605, 0.2967)  2 P 2.43-2.45
Se (0.9467, 0.1962, 0.2967)  2 P 2.43-2.45
Se (0.5605, 0.9467, 0.2967)  2 P 2.42-2.45

## Properties
spin magnetization = 0.00 μB/f.u.
calculated volume = 24.06 Å³ per atom

---

It is entry b that is the least stable of them.